Compound: Mo2SeO
Source: Alexandria
Functional: PBE with a Hubbard U
Structure: relaxed

Properties
energy relative to the lowest polymorph listed for this composition	0	meV/atom
volume	179.72	Å³/cell
DOS at the Fermi energy	0.3	states/eV/cell
E	-45.69	eV for the cell shown
theoretical density	5.3	g/cm3

CIF file:
```
data_Mo2SeO
_space_group_name_H-M_alt 'P 1'
_space_group_IT_number 1
_cell_length_a 7.251
_cell_length_b 7.251
_cell_length_c 7.251
_cell_angle_alpha 136.28
_cell_angle_beta 136.28
_cell_angle_gamma 63.54
loop_
_space_group_symop_operation_xyz
'x,y,z'
loop_
_atom_site_label
_atom_site_fract_x
_atom_site_fract_y
_atom_site_fract_z
_atom_site_occupancy
Mo1 0.023 0.625 0.898 1
Mo2 0.375 0.273 0.398 1
Mo3 0.727 0.125 0.102 1
Mo4 0.875 0.977 0.602 1
Se1 0.250 0.750 0.500 1
Se2 0.500 0.500 0.000 1
O1 0.000 0.000 0.000 1
O2 0.750 0.250 0.500 1
```